Material: CaHoAl4
Method: DFT, PBE-GGA
State: relaxed

Geometry as CIF:
```
data_CaHoAl4
_chemical_formula_sum 'Ca4 Ho4 Al16'
_cell_length_a 7.912
_cell_length_b 7.912
_cell_length_c 7.912
_cell_angle_alpha 90.00
_cell_angle_beta 90.00
_cell_angle_gamma 90.00
_space_group_name_H-M_alt 'F -4 3 m'
_space_group_IT_number 216
_space_group_name_Hall 'F -4 2 3'
loop_
_atom_site_label
_atom_site_type_symbol
_atom_site_fract_x
_atom_site_fract_y
_atom_site_fract_z
Ca1 Ca 0.000 0.000 0.000
Ho1 Ho 0.250 0.250 0.250
Al1 Al 0.125 0.125 0.625
```

Properties
- M_tot: 0.00 μB per cell
- E: -3.990 eV per atom